1 | AlBrOF2: relaxed, PBE.

Values from the calculation:
Size of the total moment in μB per cell: 0.0
DOS(E_F) in states/eV/f.u.: 2.57

Cell lengths 4.6259, 4.6259, 3.9998 Å; angles 90.00, 90.00, 90.00 degrees
Closest atoms and distances in Å follow each position.
Fractional coordinates of all 5 atoms:
1 Al 0.0000 0.0000 0.0000  8 F 3.06, 4 O 3.27
2 Br 0.5000 0.5000 0.5000  2 O 2.00
3 O 0.5000 0.5000 0.0000  2 Br 2.00
4 F 0.0000 0.5000 0.5000  2 Br 2.31
5 F 0.5000 0.0000 0.5000  2 Br 2.31

=====

2 | AlBrOF2: relaxed, PBE.

Values from the calculation:
Size of the total moment in μB per cell: 0.0
DOS(E_F) in states/eV/f.u.: 1.43

Cell lengths 3.6608, 3.6608, 4.3772 Å; angles 90.00, 90.00, 90.00 degrees
Closest atoms and distances in Å follow each position.
Fractional coordinates of all 5 atoms:
1 Al 0.0000 0.0000 0.0000  4 F 1.83
2 Br 0.5000 0.5000 0.5000  4 O 2.59, 8 F 2.85
3 O 0.0000 0.0000 0.5000  2 Al 2.19
4 F 0.0000 0.5000 0.0000  2 Al 1.83
5 F 0.5000 0.0000 0.0000  2 Al 1.83

=====

Order from most stable to least stable according to the calculation: 2, 1

=====

1 | AlSeBr2F: relaxed, PBE.

Values from the calculation:
Size of the total moment in μB per cell: 2.0
DOS(E_F) in states/eV/f.u.: 5.14

Cell lengths 4.9286, 4.9286, 5.1289 Å; angles 90.00, 90.00, 90.00 degrees
Closest atoms and distances in Å follow each position.
Fractional coordinates of all 5 atoms:
1 Al 0.0000 0.0000 0.0000  4 Br 2.46, 2 Se 2.56
2 Se 0.0000 0.0000 0.5000  2 Al 2.56
3 Br 0.0000 0.5000 0.0000  2 Al 2.46
4 Br 0.5000 0.0000 0.0000  2 Al 2.46
5 F 0.5000 0.5000 0.5000  4 Se 3.49, 8 Br 3.56

=====

2 | AlSeBr2F: relaxed, PBE.

Values from the calculation:
Size of the total moment in μB per cell: 1.3
DOS(E_F) in states/eV/f.u.: 3.63

Cell lengths 5.7932, 5.7932, 3.9066 Å; angles 90.00, 90.00, 90.00 degrees
Closest atoms and distances in Å follow each position.
Fractional coordinates of all 5 atoms:
1 Al 0.0000 0.0000 0.0000  8 Br 3.49, 2 Al 3.91
2 Se 0.5000 0.5000 0.0000  2 F 1.95
3 Br 0.0000 0.5000 0.5000  2 F 2.90
4 Br 0.5000 0.0000 0.5000  2 F 2.90
5 F 0.5000 0.5000 0.5000  2 Se 1.95

=====

Order from most stable to least stable according to the calculation: 1, 2

=====

1 | Al3FeBr: relaxed, PBE.

Values from the calculation:
Size of the total moment in μB per cell: 3.0
DOS(E_F) in states/eV/f.u.: 4.36

Cell lengths 5.0412, 5.0412, 5.0412 Å; angles 90.00, 90.00, 90.00 degrees
Closest atoms and distances in Å follow each position.
Fractional coordinates of all 5 atoms:
1 Al 0.0000 0.0000 0.5000  2 Br 2.52
2 Al 0.0000 0.5000 0.0000  2 Br 2.52
3 Al 0.5000 0.0000 0.0000  2 Br 2.52
4 Fe 0.5000 0.5000 0.5000  12 Al 3.56
5 Br 0.0000 0.0000 0.0000  6 Al 2.52

=====

2 | Al3FeBr: relaxed, PBE.

Values from the calculation:
Size of the total moment in μB per cell: 0.0
DOS(E_F) in states/eV/f.u.: 3.03

Cell lengths 4.6521, 4.6521, 4.6521 Å; angles 90.00, 90.00, 90.00 degrees
Closest atoms and distances in Å follow each position.
Fractional coordinates of all 5 atoms:
1 Al 0.0000 0.0000 0.5000  2 Fe 2.33
2 Al 0.0000 0.5000 0.0000  2 Fe 2.33
3 Al 0.5000 0.0000 0.0000  2 Fe 2.33
4 Fe 0.0000 0.0000 0.0000  6 Al 2.33
5 Br 0.5000 0.5000 0.5000  12 Al 3.29

=====

Order from most stable to least stable according to the calculation: 2, 1

=====

1 | AlFeBr: relaxed, PBE.

Values from the calculation:
Size of the total moment in μB per cell: 1.1
DOS(E_F) in states/eV/f.u.: 4.26

Cell lengths 4.2322, 4.2322, 4.2322 Å; angles 60.00, 60.00, 60.00 degrees
Closest atoms and distances in Å follow each position.
Fractional coordinates of all 3 atoms:
1 Al 0.0000 0.0000 0.0000  4 Fe 2.59
2 Fe 0.7500 0.7500 0.7500  4 Br 2.59, 4 Al 2.59
3 Br 0.5000 0.5000 0.5000  4 Fe 2.59

=====

2 | AlFeBr: relaxed, PBE.

Values from the calculation:
Size of the total moment in μB per cell: 2.2
DOS(E_F) in states/eV/f.u.: 2.54

Cell lengths 3.3045, 3.3045, 5.6386 Å; angles 90.00, 90.00, 120.00 degrees
Closest atoms and distances in Å follow each position.
Fractional coordinates of all 3 atoms:
1 Al 0.0000 0.0000 0.0000  3 Fe 2.47
2 Fe 0.3333 0.6667 0.7213  3 Al 2.47, 3 Br 2.59
3 Br 0.6667 0.3333 0.4095  3 Fe 2.59

=====

Order from most stable to least stable according to the calculation: 2, 1

=====

1 | AlFeBr: relaxed, PBE.

Values from the calculation:
Size of the total moment in μB per cell: 2.3
DOS(E_F) in states/eV/f.u.: 2.92

Cell lengths 4.4983, 4.4983, 4.4983 Å; angles 60.00, 60.00, 60.00 degrees
Closest atoms and distances in Å follow each position.
Fractional coordinates of all 3 atoms:
1 Al 0.0000 0.0000 0.0000  4 Fe 2.75, 4 Br 2.75
2 Fe 0.7500 0.7500 0.7500  4 Al 2.75
3 Br 0.2500 0.2500 0.2500  4 Al 2.75

=====

2 | AlFeBr: relaxed, PBE.

Values from the calculation:
Size of the total moment in μB per cell: 2.0
DOS(E_F) in states/eV/f.u.: 2.72

Cell lengths 4.3555, 4.3555, 3.1112 Å; angles 90.00, 90.00, 120.00 degrees
Closest atoms and distances in Å follow each position.
Fractional coordinates of all 3 atoms:
1 Al 0.0000 0.0000 0.0000  6 Fe 2.96, 6 Br 2.96, 2 Al 3.11
2 Fe 0.3333 0.6667 0.5000  3 Br 2.51
3 Br 0.6667 0.3333 0.5000  3 Fe 2.51

=====

3 | AlFeBr: relaxed, PBE.

Values from the calculation:
Size of the total moment in μB per cell: 2.6
DOS(E_F) in states/eV/f.u.: 2.46

Cell lengths 6.2228, 6.2228, 6.2228 Å; angles 150.72, 150.72, 41.88 degrees
Closest atoms and distances in Å follow each position.
Fractional coordinates of all 3 atoms:
1 Al 0.0000 0.0000 0.0000  4 Fe 2.57
2 Fe 0.6100 0.6100 0.0000  4 Al 2.57, 4 Br 2.79
3 Br 0.2547 0.2547 0.0000  4 Fe 2.79, 1 Al 2.96

=====

Order from most stable to least stable according to the calculation: 3, 2, 1

=====

1 | AlFeSe2Br: relaxed, PBE.

Values from the calculation:
Size of the total moment in μB per cell: 3.9
DOS(E_F) in states/eV/f.u.: 5.49

Cell lengths 4.9215, 4.9215, 4.9469 Å; angles 90.00, 90.00, 90.00 degrees
Closest atoms and distances in Å follow each position.
Fractional coordinates of all 5 atoms:
1 Al 0.0000 0.0000 0.0000  4 Se 2.46, 2 Br 2.47
2 Fe 0.5000 0.5000 0.5000  4 Br 3.48, 8 Se 3.49
3 Se 0.0000 0.5000 0.0000  2 Al 2.46
4 Se 0.5000 0.0000 0.0000  2 Al 2.46
5 Br 0.0000 0.0000 0.5000  2 Al 2.47

=====

2 | AlFeSe2Br: relaxed, PBE.

Values from the calculation:
Size of the total moment in μB per cell: 3.6
DOS(E_F) in states/eV/f.u.: 3.38

Cell lengths 4.6268, 4.6268, 5.2823 Å; angles 90.00, 90.00, 90.00 degrees
Closest atoms and distances in Å follow each position.
Fractional coordinates of all 5 atoms:
1 Al 0.0000 0.0000 0.0000  4 Br 3.27, 8 Se 3.51
2 Fe 0.5000 0.5000 0.5000  4 Se 2.31
3 Se 0.0000 0.5000 0.5000  2 Fe 2.31
4 Se 0.5000 0.0000 0.5000  2 Fe 2.31
5 Br 0.5000 0.5000 0.0000  2 Fe 2.64

=====

Order from most stable to least stable according to the calculation: 2, 1

=====

1 | AlGaBr4: relaxed, PBE.

Values from the calculation:
Size of the total moment in μB per cell: 0.0
DOS(E_F) in states/eV/f.u.: 0.00

Cell lengths 9.4969, 9.9481, 13.3199 Å; angles 90.00, 128.95, 90.00 degrees
Closest atoms and distances in Å follow each position.
Fractional coordinates of all 24 atoms:
1 Al 0.1867 0.1585 0.2980  4 Br 2.32-2.35
2 Al 0.1867 0.3415 0.7980  4 Br 2.32-2.35
3 Al 0.8133 0.6585 0.2020  4 Br 2.32-2.35
4 Al 0.8133 0.8415 0.7020  4 Br 2.32-2.35
5 Ga 0.2793 0.6683 0.3022  3 Br 2.89-3.16
6 Ga 0.2793 0.8317 0.8022  3 Br 2.89-3.16
7 Ga 0.7207 0.1683 0.1978  3 Br 2.89-3.16
8 Ga 0.7207 0.3317 0.6978  3 Br 2.89-3.16
9 Br 0.0911 0.6983 0.4067  1 Al 2.35
10 Br 0.0911 0.8017 0.9067  1 Al 2.35
11 Br 0.1108 0.1209 0.4315  1 Al 2.33
12 Br 0.1108 0.3791 0.9315  1 Al 2.33
13 Br 0.3335 0.5209 0.7883  1 Al 2.32
14 Br 0.3335 0.9791 0.2883  1 Al 2.32
15 Br 0.3747 0.1534 0.8698  1 Al 2.34
16 Br 0.3747 0.3466 0.3698  1 Al 2.34
17 Br 0.6253 0.6534 0.6302  1 Al 2.34
18 Br 0.6253 0.8466 0.1302  1 Al 2.34
19 Br 0.6665 0.0209 0.7117  1 Al 2.32
20 Br 0.6665 0.4791 0.2117  1 Al 2.32
21 Br 0.8892 0.6209 0.0685  1 Al 2.33
22 Br 0.8892 0.8791 0.5685  1 Al 2.33
23 Br 0.9089 0.1983 0.0933  1 Al 2.35
24 Br 0.9089 0.3017 0.5933  1 Al 2.35

=====

2 | AlGaBr4: relaxed, PBE.

Values from the calculation:
Size of the total moment in μB per cell: 0.0
DOS(E_F) in states/eV/f.u.: 0.00

Cell lengths 8.0669, 10.6200, 10.7809 Å; angles 90.00, 90.00, 90.00 degrees
Closest atoms and distances in Å follow each position.
Fractional coordinates of all 24 atoms:
1 Al 0.0773 0.2500 0.2500  4 Br 2.98-3.13
2 Al 0.4227 0.7500 0.2500  4 Br 2.98-3.13
3 Al 0.5773 0.2500 0.7500  4 Br 2.98-3.13
4 Al 0.9227 0.7500 0.7500  4 Br 2.98-3.13
5 Ga 0.2500 0.0000 0.6947  4 Br 2.36-2.38
6 Ga 0.2500 0.5000 0.8053  4 Br 2.36-2.38
7 Ga 0.7500 0.0000 0.3053  4 Br 2.36-2.38
8 Ga 0.7500 0.5000 0.1947  4 Br 2.36-2.38
9 Br 0.0106 0.0288 0.8169  1 Ga 2.36
10 Br 0.0106 0.4712 0.6831  1 Ga 2.36
11 Br 0.1872 0.6794 0.9294  1 Ga 2.38
12 Br 0.1872 0.8206 0.5706  1 Ga 2.38
13 Br 0.3128 0.1794 0.5706  1 Ga 2.38
14 Br 0.3128 0.3206 0.9294  1 Ga 2.38
15 Br 0.4894 0.5288 0.6831  1 Ga 2.36
16 Br 0.4894 0.9712 0.8169  1 Ga 2.36
17 Br 0.5106 0.0288 0.1831  1 Ga 2.36
18 Br 0.5106 0.4712 0.3169  1 Ga 2.36
19 Br 0.6872 0.6794 0.0706  1 Ga 2.38
20 Br 0.6872 0.8206 0.4294  1 Ga 2.38
21 Br 0.8128 0.1794 0.4294  1 Ga 2.38
22 Br 0.8128 0.3206 0.0706  1 Ga 2.38
23 Br 0.9894 0.5288 0.3169  1 Ga 2.36
24 Br 0.9894 0.9712 0.1831  1 Ga 2.36

=====

Order from most stable to least stable according to the calculation: 1, 2

=====

1 | AlGa2Br: relaxed, PBE.

Values from the calculation:
Size of the total moment in μB per cell: 0.0
DOS(E_F) in states/eV/f.u.: 0.00

Cell lengths 7.7628, 7.7628, 7.7628 Å; angles 133.88, 133.88, 67.28 degrees
Closest atoms and distances in Å follow each position.
Fractional coordinates of all 8 atoms:
1 Al 0.0000 0.0000 0.0000  4 Ga 2.52
2 Al 0.7500 0.2500 0.5000  4 Ga 2.52
3 Ga 0.0709 0.6250 0.9459  2 Al 2.52
4 Ga 0.3750 0.3209 0.4459  2 Al 2.52
5 Ga 0.6791 0.1250 0.0541  2 Al 2.52
6 Ga 0.8750 0.9291 0.5541  2 Al 2.52
7 Br 0.2500 0.7500 0.5000  4 Ga 2.89
8 Br 0.5000 0.5000 0.0000  4 Ga 2.89

=====

2 | AlGa2Br: relaxed, PBE.

Values from the calculation:
Size of the total moment in μB per cell: 0.0
DOS(E_F) in states/eV/f.u.: 1.97

Cell lengths 5.0258, 5.0258, 5.0258 Å; angles 60.00, 60.00, 60.00 degrees
Closest atoms and distances in Å follow each position.
Fractional coordinates of all 4 atoms:
1 Al 0.0000 0.0000 0.0000  8 Ga 3.08
2 Ga 0.2500 0.2500 0.2500  4 Br 3.08, 4 Al 3.08
3 Ga 0.7500 0.7500 0.7500  4 Al 3.08, 4 Br 3.08
4 Br 0.5000 0.5000 0.5000  8 Ga 3.08

=====

Order from most stable to least stable according to the calculation: 1, 2